No. 1
{"formula": "Mg2ScCuH", "functional": "PBE", "state": "relaxed", "cell": [[4.2985, 0.0000, 0.0000], [0.0000, 4.2985, 0.0000], [0.0000, 0.0000, 4.2203]], "species": ["H", "Cu", "Mg", "Mg", "Sc"], "fractional_positions": [[0.0000, 0.0000, 0.0000], [0.5000, 0.5000, 0.5000], [0.0000, 0.5000, 0.0000], [0.5000, 0.0000, 0.0000], [0.0000, 0.0000, 0.5000]], "magmom_total_mub_per_cell": 0.000, "energy_ev_per_atom": -3.486}

No. 2
{"formula": "MgCuHSe2", "functional": "PBE", "state": "relaxed", "cell": [[4.8723, 0.0000, 0.0000], [0.0000, 3.3316, 0.0000], [0.0000, 0.0000, 4.8723]], "species": ["H", "Se", "Se", "Mg", "Cu"], "fractional_positions": [[0.0000, 0.0000, 0.0000], [0.0000, 0.0000, 0.5000], [0.5000, 0.0000, 0.0000], [0.5000, 0.5000, 0.5000], [0.0000, 0.5000, 0.0000]], "magmom_total_mub_per_cell": 0.000, "energy_ev_per_atom": -3.130}

No. 3
{"formula": "SrMgCuH2", "functional": "PBE", "state": "relaxed", "cell": [[-3.7085, -1.7242, 1.5961], [2.4556, -4.8281, 0.4901], [1.2615, 1.0548, 4.0705]], "species": ["H", "H", "Mg", "Cu", "Sr"], "fractional_positions": [[0.5000, 0.0000, 0.0000], [0.0000, 0.0000, 0.5000], [0.5000, 0.5000, 0.5000], [0.0000, 0.0000, 0.0000], [0.0000, 0.5000, 0.0000]], "magmom_total_mub_per_cell": 0.000, "energy_ev_per_atom": -2.065}

No. 4
{"formula": "SrMgCu2H6", "functional": "PBE", "state": "relaxed", "cell": [[-3.7087, -5.0144, -1.5832], [4.8788, -3.6059, 2.1447], [-2.2887, 1.4689, 4.7171]], "species": ["H", "H", "H", "H", "H", "H", "H", "H", "H", "H", "H", "H", "Cu", "Cu", "Cu", "Cu", "Sr", "Sr", "Mg", "Mg"], "fractional_positions": [[0.0937, 0.6000, 0.8032], [0.4000, 0.9063, 0.6968], [0.3242, 0.5162, 0.3838], [0.1528, 0.1750, 0.5385], [0.6000, 0.0937, 0.3032], [0.6758, 0.4838, 0.6162], [0.8472, 0.8250, 0.4615], [0.9063, 0.4000, 0.1968], [0.8250, 0.8472, 0.9615], [0.5162, 0.3242, 0.8838], [0.4838, 0.6758, 0.1162], [0.1750, 0.1528, 0.0385], [0.6798, 0.8653, 0.1901], [0.3202, 0.1347, 0.8099], [0.8653, 0.6798, 0.6901], [0.1347, 0.3202, 0.3099], [0.8265, 0.1735, 0.7500], [0.1735, 0.8265, 0.2500], [0.5944, 0.4056, 0.2500], [0.4056, 0.5944, 0.7500]], "magmom_total_mub_per_cell": 0.000, "energy_ev_per_atom": -3.374}

No. 5
{"formula": "SrMgCu2H8", "functional": "PBE", "state": "relaxed", "cell": [[4.6600, 0.0000, 0.0000], [-2.3300, 4.0357, 0.0000], [0.0000, 0.0000, 6.7389]], "species": ["H", "H", "H", "H", "H", "H", "H", "H", "Cu", "Cu", "Sr", "Mg"], "fractional_positions": [[0.3173, 0.3227, 0.3100], [0.0054, 0.6827, 0.3100], [0.3333, 0.6667, 0.9453], [0.3227, 0.0054, 0.6900], [0.9946, 0.3173, 0.6900], [0.6667, 0.3333, 0.0547], [0.6827, 0.6773, 0.6900], [0.6773, 0.9946, 0.3100], [0.6667, 0.3333, 0.2907], [0.3333, 0.6667, 0.7093], [0.0000, 0.0000, 0.0000], [0.0000, 0.0000, 0.5000]], "magmom_total_mub_per_cell": 0.000, "energy_ev_per_atom": -3.143}

No. 6
{"formula": "Mg2TiCuH", "functional": "PBE", "state": "relaxed", "cell": [[4.3418, 0.0000, 0.0000], [0.0000, 4.3418, 0.0000], [0.0000, 0.0000, 3.7684]], "species": ["Mg", "Mg", "Cu", "Ti", "H"], "fractional_positions": [[0.5000, 0.0000, 0.0000], [0.0000, 0.5000, 0.0000], [0.5000, 0.5000, 0.5000], [0.0000, 0.0000, 0.5000], [0.0000, 0.0000, 0.0000]], "magmom_total_mub_per_cell": 0.000, "energy_ev_per_atom": -3.693}

No. 7
{"formula": "MgTi2CuH", "functional": "PBE", "state": "relaxed", "cell": [[-1.6738, 3.1386, 1.6771], [-2.7963, -2.3063, 1.5253], [2.4217, -0.5978, 3.5358]], "species": ["H", "Mg", "Ti", "Ti", "Cu"], "fractional_positions": [[0.0000, 0.0000, 0.0000], [0.0000, 0.0000, 0.5000], [0.0000, 0.5000, 0.0000], [0.5000, 0.0000, 0.0000], [0.5000, 0.5000, 0.5000]], "polymorph_energy_mev_per_atom": 0, "magmom_total_mub_per_cell": 0.000}

No. 8
{"formula": "MgTi2CuH", "functional": "PBE", "state": "relaxed", "cell": [[-0.1579, -2.4366, -3.2326], [-1.9779, -2.7762, 2.1892], [-3.5512, 1.6726, -1.0873]], "species": ["H", "Ti", "Ti", "Mg", "Cu"], "fractional_positions": [[0.0000, 0.0000, 0.0000], [0.0000, 0.5000, 0.0000], [0.5000, 0.0000, 0.0000], [0.5000, 0.5000, 0.5000], [0.0000, 0.0000, 0.5000]], "polymorph_energy_mev_per_atom": 22, "magmom_total_mub_per_cell": 0.000}